A plane-wave DFT calculation with PBE+U was carried out for a geometry-optimized Ba2ErFeO5 structure.

The total energy comes out at -6.870 eV per atom. For the volume, the calculation gives 17.1 Å³/atom. For the spin magnetization, the calculation gives 4.94 μB/f.u.

The structure belongs to space group Cmc2_1 (No. 36); the cell edges are 3.5523, 15.0793 and 11.4792 Å and the angles 90.00°, 90.00° and 90.00°. The distinct sites, in fractional coordinates, are Ba at (0.0000, 0.1064, 0.0000), Ba at (0.0000, 0.1382, 0.6526), Er at (0.0000, 0.2055, 0.3595), Fe at (0.0000, 0.4497, 0.7637), O at (0.0000, 0.0431, 0.3384), O at (0.0000, 0.2895, 0.9815), O at (0.0000, 0.3240, 0.7291), O at (0.0000, 0.3456, 0.3330) and O at (0.0000, 0.4969, 0.1188).